(1)
First-principles (GGA-PBEsol) data for a geometry-optimized Sc2ReNi structure, as listed in the Alexandria database.

Lattice parameters (Å, degrees): 3.8178 3.8178 8.8097 90.00 90.00 90.00
Space group I-4m2 (No. 119)
Symmetry-distinct sites (fractional):
Sc (0.0000, 0.0000, 0.0000) (multiplicity 2)
Sc (0.0000, 0.5000, 0.2500) (multiplicity 2)
Re (0.0000, 0.5000, 0.7500) (multiplicity 2)
Ni (0.0000, 0.0000, 0.5000) (multiplicity 2)

Computed properties:
Energy of formation from the pure elements = 2 meV per atom
Crystal system = tetragonal

***

(2)
First-principles (GGA-PBEsol) data for a geometry-optimized Sc2ReNi2 structure, as listed in the Alexandria database.

Lattice parameters (Å, degrees): 3.2217 3.2217 15.2236 90.00 90.00 90.00
Space group I4/mmm (No. 139)
Symmetry-distinct sites (fractional):
Sc (0.0000, 0.0000, 0.1056) (multiplicity 4)
Re (0.0000, 0.0000, 0.5000) (multiplicity 2)
Ni (0.0000, 0.5000, 0.2500) (multiplicity 4)

Computed properties:
Energy of formation from the pure elements = 50 meV per atom
Crystal system = tetragonal

***

(3)
First-principles (GGA-PBEsol) data for a geometry-optimized Re2NiSe structure, as listed in the Alexandria database.

Lattice parameters (Å, degrees): 2.8199 2.8199 24.3484 90.00 90.00 120.00
Space group R-3m (No. 166, hexagonal axes)
Symmetry-distinct sites (fractional):
Re (0.0000, 0.0000, 0.2490) (multiplicity 6)
Ni (0.0000, 0.0000, 0.5000) (multiplicity 3)
Se (0.0000, 0.0000, 0.0000) (multiplicity 3)

Computed properties:
Energy relative to the elements, uncorrected = 0.467 eV per atom
Crystal system = trigonal

***

(4)
First-principles (GGA-PBEsol) data for a geometry-optimized Re2NiSe structure, as listed in the Alexandria database.

Lattice parameters (Å, degrees): 4.2665 4.2665 2.9372 90.00 90.00 90.00
Space group P4/mmm (No. 123)
Symmetry-distinct sites (fractional):
Re (0.0000, 0.5000, 0.0000) (multiplicity 2)
Ni (0.0000, 0.0000, 0.5000) (multiplicity 1)
Se (0.5000, 0.5000, 0.5000) (multiplicity 1)

Computed properties:
Energy relative to the elements, uncorrected = 0.439 eV per atom
Crystal system = tetragonal

***

(5)
First-principles (GGA-PBEsol) data for a geometry-optimized ReNiSe2 structure, as listed in the Alexandria database.

Lattice parameters (Å, degrees): 6.0539 8.0267 2.6226 90.00 90.00 90.00
Space group Cmmm (No. 65)
Symmetry-distinct sites (fractional):
Re (0.0000, 0.0000, 0.0000) (multiplicity 2)
Ni (0.0000, 0.5000, 0.0000) (multiplicity 2)
Se (0.2500, 0.2500, 0.0000) (multiplicity 4)

Computed properties:
Energy relative to the elements, uncorrected = 0.562 eV per atom
Crystal system = orthorhombic
ΔE to the lowest computed polymorph = 331 meV per atom

***

(6)
First-principles (GGA-PBEsol) data for a geometry-optimized ReNiSe2 structure, as listed in the Alexandria database.

Lattice parameters (Å, degrees): 3.0951 3.0951 24.0039 90.00 90.00 120.00
Space group R-3m (No. 166, hexagonal axes)
Symmetry-distinct sites (fractional):
Re (0.0000, 0.0000, 0.0000) (multiplicity 3)
Ni (0.0000, 0.0000, 0.5000) (multiplicity 3)
Se (0.0000, 0.0000, 0.4078) (multiplicity 6)

Computed properties:
Energy relative to the elements, uncorrected = 0.231 eV per atom
Crystal system = trigonal
ΔE to the lowest computed polymorph = 0 meV per atom

***

(7)
First-principles (GGA-PBEsol) data for a geometry-optimized SrReNi2Se structure, as listed in the Alexandria database.

Lattice parameters (Å, degrees): 4.6324 4.6324 4.7012 90.00 90.00 90.00
Space group P4/mmm (No. 123)
Symmetry-distinct sites (fractional):
Sr (0.0000, 0.0000, 0.0000) (multiplicity 1)
Re (0.5000, 0.5000, 0.5000) (multiplicity 1)
Ni (0.0000, 0.5000, 0.5000) (multiplicity 2)
Se (0.5000, 0.5000, 0.0000) (multiplicity 1)

Computed properties:
Energy relative to the elements, uncorrected = 0.240 eV per atom
Crystal system = tetragonal

***

(8)
First-principles (GGA-PBEsol) data for a geometry-optimized Re3SiNi structure, as listed in the Alexandria database.

Lattice parameters (Å, degrees): 4.3593 4.3593 4.3593 90.00 90.00 90.00
Space group Pm-3m (No. 221)
Symmetry-distinct sites (fractional):
Re (0.0000, 0.0000, 0.5000) (multiplicity 3)
Si (0.5000, 0.5000, 0.5000) (multiplicity 1)
Ni (0.0000, 0.0000, 0.0000) (multiplicity 1)

Computed properties:
Energy relative to the elements, uncorrected = 1.942 eV per atom
Crystal system = cubic

***

(9)
First-principles (GGA-PBEsol) data for a geometry-optimized ReSiNi structure, as listed in the Alexandria database.

Lattice parameters (Å, degrees): 2.8759 2.8759 8.7827 90.00 90.00 90.00
Space group I4mm (No. 107)
Symmetry-distinct sites (fractional):
Re (0.0000, 0.0000, 0.0000) (multiplicity 2)
Si (0.0000, 0.0000, 0.6714) (multiplicity 2)
Ni (0.0000, 0.0000, 0.3076) (multiplicity 2)

Computed properties:
Energy relative to the elements, uncorrected = -0.163 eV per atom
Crystal system = tetragonal
ΔE to the lowest computed polymorph = 0 meV per atom

***

(10)
First-principles (GGA-PBEsol) data for a geometry-optimized ReSiNi2 structure, as listed in the Alexandria database.

Lattice parameters (Å, degrees): 3.7695 2.6183 9.5750 90.00 90.00 90.00
Space group Amm2 (No. 38)
Symmetry-distinct sites (fractional):
Re (0.0000, 0.0000, 0.0000) (multiplicity 2)
Si (0.5000, 0.0000, 0.6203) (multiplicity 2)
Ni (0.0000, 0.0000, 0.7458) (multiplicity 2)
Ni (0.5000, 0.0000, 0.3582) (multiplicity 2)

Computed properties:
Energy relative to the elements, uncorrected = -0.211 eV per atom
Crystal system = orthorhombic

***

(11)
First-principles (GGA-PBEsol) data for a geometry-optimized Re2SiNi structure, as listed in the Alexandria database.

Lattice parameters (Å, degrees): 2.8954 4.3365 8.4659 90.00 90.00 90.00
Space group Immm (No. 71)
Symmetry-distinct sites (fractional):
Re (0.0000, 0.0000, 0.2322) (multiplicity 4)
Si (0.0000, 0.5000, 0.5000) (multiplicity 2)
Ni (0.0000, 0.5000, 0.0000) (multiplicity 2)

Computed properties:
Energy relative to the elements, uncorrected = 0.045 eV per atom
Crystal system = orthorhombic

***

(12)
First-principles (GGA-PBEsol) data for a geometry-optimized ReSiNi2 structure, as listed in the Alexandria database.

Lattice parameters (Å, degrees): 2.6141 3.5620 5.0692 90.00 90.00 90.00
Space group Pmmm (No. 47)
Symmetry-distinct sites (fractional):
Re (0.0000, 0.0000, 0.0000) (multiplicity 1)
Si (0.0000, 0.0000, 0.5000) (multiplicity 1)
Ni (0.5000, 0.5000, 0.2587) (multiplicity 2)

Computed properties:
Energy relative to the elements, uncorrected = -0.143 eV per atom
Crystal system = orthorhombic

***

(13)
First-principles (GGA-PBEsol) data for a geometry-optimized ReSiNi structure, as listed in the Alexandria database.

Lattice parameters (Å, degrees): 5.4961 5.4961 5.4961 90.00 90.00 90.00
Space group F-43m (No. 216)
Symmetry-distinct sites (fractional):
Re (0.0000, 0.0000, 0.0000) (multiplicity 4)
Si (0.2500, 0.2500, 0.7500) (multiplicity 4)
Ni (0.0000, 0.0000, 0.5000) (multiplicity 4)

Computed properties:
Energy relative to the elements, uncorrected = 0.056 eV per atom
Crystal system = cubic
ΔE to the lowest computed polymorph = 219 meV per atom

***

(14)
First-principles (GGA-PBEsol) data for a geometry-optimized Re2SiNi structure, as listed in the Alexandria database.

Lattice parameters (Å, degrees): 3.0365 4.1098 4.2043 90.00 90.00 90.00
Space group Pmmm (No. 47)
Symmetry-distinct sites (fractional):
Re (0.0000, 0.0000, 0.0000) (multiplicity 1)
Re (0.5000, 0.0000, 0.5000) (multiplicity 1)
Si (0.0000, 0.5000, 0.5000) (multiplicity 1)
Ni (0.5000, 0.5000, 0.0000) (multiplicity 1)

Computed properties:
Energy relative to the elements, uncorrected = 0.090 eV per atom
Crystal system = orthorhombic

***

(15)
First-principles (GGA-PBEsol) data for a geometry-optimized SrRe2SiNi structure, as listed in the Alexandria database.

Lattice parameters (Å, degrees): 4.7015 4.7015 4.9054 90.00 90.00 90.00
Space group P4/mmm (No. 123)
Symmetry-distinct sites (fractional):
Sr (0.0000, 0.0000, 0.0000) (multiplicity 1)
Re (0.0000, 0.5000, 0.0000) (multiplicity 2)
Si (0.0000, 0.0000, 0.5000) (multiplicity 1)
Ni (0.5000, 0.5000, 0.5000) (multiplicity 1)

Computed properties:
Energy relative to the elements, uncorrected = 3.634 eV per atom
Crystal system = tetragonal

***

| no. | final energy (eV/atom) |
| --- | --- |
| 1 | -8.173 |
| 2 | -7.721 |
| 3 | -8.701 |
| 4 | -8.729 |
| 5 | -6.236 |
| 6 | -6.567 |
| 7 | -6.027 |
| 8 | -8.438 |
| 9 | -8.575 |
| 10 | -8.060 |
| 11 | -9.597 |
| 12 | -7.992 |
| 13 | -8.356 |
| 14 | -9.552 |
| 15 | -4.448 |